Record 1
This record from the Alexandria database describes an optimized crystal structure of Ta3TiIr6. The functional is PBE-GGA.

Computed properties:
energy of formation from the pure elements	-0.6301	eV per atom
density	18.479	g/cm³
VASP energy	-10.292	eV/atom
Fermi-level density of states	0.630	states/eV/atom

Cell: 7.679 4.528 9.612 Å, 90.00 110.33 90.00°
Space group P2_1/m (No. 11)
Asymmetric unit:
Ta: 0.065 0.250 0.237 [2 per cell]
Ta: 0.300 0.250 0.033 [2 per cell]
Ta: 0.331 0.750 0.359 [2 per cell]
Ti: 0.114 0.750 0.548 [2 per cell]
Ir: 0.103 0.250 0.727 [2 per cell]
Ir: 0.109 0.750 0.075 [2 per cell]
Ir: 0.290 0.250 0.522 [2 per cell]
Ir: 0.304 0.750 0.866 [2 per cell]
Ir: 0.487 0.250 0.829 [2 per cell]
Ir: 0.494 0.750 0.670 [2 per cell]

Record 2
This record from the Alexandria database describes an optimized crystal structure of AsP2Cl. The functional is PBE-GGA.

Computed properties:
offset from the most stable computed form	2.70	eV per formula unit
density	4.211	g/cm³
VASP energy	-3.651	eV/atom
formation energy (no corrections)	0.678	eV/atom
Fermi-level density of states	0.840	states/eV/atom

Cell: 6.478 6.478 6.478 Å, 90.00 90.00 90.00°
Space group F-43m (No. 216)
Asymmetric unit:
As: 0.000 0.000 0.000 [4 per cell]
P: 0.000 0.000 0.500 [4 per cell]
P: 0.250 0.250 0.250 [4 per cell]
Cl: 0.250 0.250 0.750 [4 per cell]

Record 3
This record from the Alexandria database describes an optimized crystal structure of AcTmAs3. The functional is PBE-GGA.

Computed properties:
energy of formation from the pure elements	-0.5863	eV per atom
density	6.996	g/cm³
VASP energy	-5.092	eV/atom
Fermi-level density of states	0.453	states/eV/atom

Cell: 5.282 5.282 5.282 Å, 90.00 90.00 90.00°
Space group Pm-3m (No. 221)
Asymmetric unit:
Ac: 0.000 0.000 0.000 [1 per cell]
Tm: 0.500 0.500 0.500 [1 per cell]
As: 0.000 0.500 0.500 [3 per cell]

Record 4
This record from the Alexandria database describes an optimized crystal structure of NbZnCdIr2. The functional is PBE-GGA.

Computed properties:
energy of formation from the pure elements	1.7162	eV per atom
density	10.346	g/cm³
VASP energy	-4.280	eV/atom
Fermi-level density of states	1.453	states/eV/atom

Cell: 4.847 4.847 4.476 Å, 90.00 90.00 90.00°
Space group P4/mmm (No. 123)
Asymmetric unit:
Nb: 0.000 0.000 0.000 [1 per cell]
Zn: 0.500 0.500 0.000 [1 per cell]
Cd: 0.500 0.500 0.500 [1 per cell]
Ir: 0.000 0.500 0.500 [2 per cell]

Record 5
This record from the Alexandria database describes an optimized crystal structure of CaCeRh2Pb4. The functional is PBE-GGA.

Computed properties:
energy of formation from the pure elements	-0.1975	eV per atom
density	9.094	g/cm³
VASP energy	-4.881	eV/atom
Fermi-level density of states	1.553	states/eV/atom

Cell: 4.450 4.450 11.201 Å, 90.00 90.00 90.00°
Space group P4/mmm (No. 123)
Asymmetric unit:
Ca: 0.000 0.000 0.000 [1 per cell]
Ce: 0.000 0.000 0.500 [1 per cell]
Rh: 0.500 0.500 0.390 [2 per cell]
Pb: 0.000 0.500 0.229 [4 per cell]